# 1
UPaGe6: optimized geometry, GGA-PBE.

Geometry as extended XYZ:
```
8
Lattice="4.235 0.000 0.000 0.000 4.235 0.000 0.000 0.000 8.468" Properties=species:S:1:pos:R:3 pbc="T T T"
Pa 0.000 0.000 0.000
U 0.000 0.000 4.234
Ge 2.118 2.118 0.000
Ge 0.000 2.118 6.324
Ge 2.118 0.000 2.144
Ge 0.000 2.118 2.144
Ge 2.118 0.000 6.324
Ge 2.118 2.118 4.234
```

Values from the calculation:
**V**: 18.99 Å³/atom
**Space-group type**: P4/mmm, No. 123
**Density of states at the Fermi level**: 6.394 states/eV/cell
**DFT formation energy**: -38 kJ per mole of atoms

=====

# 2
Ba2PmPbO6: optimized geometry, GGA-PBE.

Geometry as extended XYZ:
```
20
Lattice="-0.774 4.690 -4.109 -6.176 -0.140 1.005 0.938 5.842 6.579" Properties=species:S:1:pos:R:3 pbc="T T T"
O -1.580 1.244 -0.398
O -4.432 9.149 3.874
O -4.883 6.635 1.198
O -1.380 9.016 3.567
O -5.703 6.199 4.129
O -3.682 5.688 -1.684
O -4.632 1.376 -0.091
O -2.330 4.705 5.159
O -4.322 3.887 2.607
O -0.309 4.194 -0.653
O -1.690 6.505 0.868
O -1.129 3.758 2.277
Pm -0.387 2.345 -2.054
Pm -2.619 2.851 3.792
Ba -5.817 1.355 2.586
Ba -2.911 6.685 3.362
Ba -3.101 3.707 0.114
Ba -0.195 9.037 0.890
Pb 0.082 5.266 1.235
Pb -3.088 -0.070 0.502
```

Values from the calculation:
**Formation energy without anion corrections**: -2.176 eV per atom
**V**: 17.40 Å³/atom
**Space-group type**: P2_1/c, No. 14
**Density of states at the Fermi level**: 20.245 states/eV/cell

=====

# 3
KMgInSe3: optimized geometry, GGA-PBE.

Geometry as extended XYZ:
```
12
Lattice="4.074 0.000 0.000 0.000 8.531 -0.597 0.000 -3.035 10.416" Properties=species:S:1:pos:R:3 pbc="T T T"
Se 1.018 1.768 8.350
Se 1.018 5.324 4.650
Se 3.055 7.248 0.839
Se 1.018 -1.752 8.980
Se 3.055 3.728 1.469
Se 3.055 0.172 5.169
K 1.018 1.287 2.289
K 3.055 4.209 7.530
Mg 1.018 5.349 0.495
Mg 3.055 0.147 9.324
In 3.055 6.132 3.178
In 1.018 -0.635 6.641
```

Values from the calculation:
**Formation energy without anion corrections**: -0.949 eV per atom
**V**: 29.55 Å³/atom
**Space-group type**: P2_1/m, No. 11

=====

# 4
La2Al4IrPt3: optimized geometry, GGA-PBE.

Geometry as extended XYZ:
```
10
Lattice="4.310 0.000 0.000 0.000 4.310 0.000 0.000 0.000 10.468" Properties=species:S:1:pos:R:3 pbc="T T T"
Pt 0.000 0.000 5.234
Pt 2.155 0.000 9.079
Pt 0.000 2.155 1.389
La 0.000 2.155 7.824
La 2.155 0.000 2.644
Al 2.155 0.000 6.535
Al 0.000 2.155 3.933
Al 2.155 2.155 0.000
Al 0.000 0.000 0.000
Ir 2.155 2.155 5.234
```

Values from the calculation:
**V**: 19.45 Å³/atom
**Space-group type**: P-4m2, No. 115
**Density of states at the Fermi level**: 7.948 states/eV/cell
**DFT formation energy**: -104 kJ per mole of atoms

=====

# 5
Pm2YPa: optimized geometry, GGA-PBE.

Geometry as extended XYZ:
```
4
Lattice="3.378 0.000 0.000 1.689 2.926 0.000 1.689 0.975 12.441" Properties=species:S:1:pos:R:3 pbc="T T T"
Pm 5.067 2.926 3.218
Pm 1.689 0.975 9.222
Y 3.378 1.950 6.220
Pa 0.000 0.000 0.000
```

Values from the calculation:
**V**: 30.74 Å³/atom
**Space-group type**: R-3m, No. 166
**Energy above the lowest structure with this stoichiometry**: 0.1549 eV per atom
**Density of states at the Fermi level**: 5.768 states/eV/cell
**DFT formation energy**: 30 kJ per mole of atoms

=====

# 6
Ti2Sn2Au: optimized geometry, GGA-PBE.

Geometry as extended XYZ:
```
10
Lattice="-0.599 2.985 -6.496 -4.102 -5.483 -2.141 -3.180 1.920 1.176" Properties=species:S:1:pos:R:3 pbc="T T T"
Sn -3.752 -3.645 -4.194
Sn -1.567 -1.570 -1.673
Sn -3.135 -0.927 -6.964
Sn -0.950 1.147 -4.442
Ti -4.426 -2.198 -1.925
Ti -2.475 1.039 -1.933
Ti -5.407 -1.616 -5.528
Ti -3.455 1.621 -5.536
Au 0.000 0.000 0.000
Au -2.351 -1.249 -4.318
```

Values from the calculation:
**V**: 20.06 Å³/atom
**Space-group type**: P4/mbm, No. 127
**Energy above the lowest structure with this stoichiometry**: 0.0713 eV per atom
**Density of states at the Fermi level**: 7.231 states/eV/cell
**DFT formation energy**: -9 kJ per mole of atoms

=====

# 7
NdZn3P3: optimized geometry, GGA-PBE.

Geometry as extended XYZ:
```
14
Lattice="-0.638 3.180 2.422 -2.389 -0.611 -3.211 -12.362 -11.088 11.305" Properties=species:S:1:pos:R:3 pbc="T T T"
P -6.319 -2.656 5.206
P -10.493 -6.400 9.023
P -4.896 -2.119 1.493
P -13.084 -9.464 8.981
P -2.305 0.945 1.535
P -9.069 -5.863 5.310
Zn -4.312 -0.855 3.370
Zn -3.405 -0.782 0.130
Zn -9.002 -5.062 7.659
Zn -11.076 -7.663 7.145
Zn -11.984 -7.737 10.386
Zn -6.386 -3.456 2.856
Nd 0.000 0.000 0.000
Nd -6.181 -5.544 5.652
```

Values from the calculation:
**V**: 20.36 Å³/atom
**Space-group type**: P6_3/mmc, No. 194
**Energy above the lowest structure with this stoichiometry**: 0.0000 eV per atom
**Density of states at the Fermi level**: 0.842 states/eV/cell
**DFT formation energy**: -57 kJ per mole of atoms

=====

# 8
BiTeNF2: optimized geometry, GGA-PBE.

Geometry as extended XYZ:
```
5
Lattice="-2.813 2.393 2.472 -2.265 -3.692 0.997 2.841 -0.689 3.899" Properties=species:S:1:pos:R:3 pbc="T T T"
Te -1.118 -0.994 3.684
N 1.420 -0.345 1.949
Bi 0.000 0.000 0.000
F -1.132 -1.846 0.499
F -1.406 1.197 1.236
```

Values from the calculation:
**Formation energy without anion corrections**: -0.286 eV per atom
**V**: 19.25 Å³/atom
**Space-group type**: P4/mmm, No. 123
**Energy above the lowest structure with this stoichiometry**: 0.0000 eV per atom
**Density of states at the Fermi level**: 3.545 states/eV/cell

=====

# 9
Ir3Se: optimized geometry, GGA-PBE.

Geometry as extended XYZ:
```
4
Lattice="4.448 0.000 0.000 2.224 3.852 0.000 2.224 1.284 3.632" Properties=species:S:1:pos:R:3 pbc="T T T"
Se 6.673 3.852 2.724
Ir 2.224 1.284 0.908
Ir 4.448 2.568 1.816
Ir 0.000 0.000 0.000
```

Values from the calculation:
**Formation energy without anion corrections**: 0.725 eV per atom
**V**: 15.56 Å³/atom
**Space-group type**: Fm-3m, No. 225
**Energy above the lowest structure with this stoichiometry**: 0.4360 eV per atom
**Density of states at the Fermi level**: 6.733 states/eV/cell

=====

# 10
SrBrCl: optimized geometry, GGA-PBE.

Geometry as extended XYZ:
```
3
Lattice="-5.113 -0.867 0.357 -2.132 -1.113 4.608 -3.068 3.475 2.352" Properties=species:S:1:pos:R:3 pbc="T T T"
Cl 0.000 0.000 0.000
Sr -5.156 0.748 3.659
Br -7.734 1.121 5.488
```

Values from the calculation:
**Formation energy without anion corrections**: -1.801 eV per atom
**V**: 33.11 Å³/atom
**Space-group type**: F-43m, No. 216
**Density of states at the Fermi level**: 0.000 states/eV/cell

=====

# 11
NiBiC3: optimized geometry, GGA-PBE.

Geometry as extended XYZ:
```
5
Lattice="4.437 0.000 0.000 0.000 4.437 0.000 0.000 0.000 4.437" Properties=species:S:1:pos:R:3 pbc="T T T"
Ni 2.219 2.219 2.219
C 2.219 0.000 0.000
C 0.000 0.000 2.219
C 0.000 2.219 0.000
Bi 0.000 0.000 0.000
```

Values from the calculation:
**V**: 17.47 Å³/atom
**Space-group type**: Pm-3m, No. 221
**Energy above the lowest structure with this stoichiometry**: 1.4325 eV per atom
**Density of states at the Fermi level**: 4.908 states/eV/cell
**DFT formation energy**: 353 kJ per mole of atoms

=====

# 12
AgWCl3: optimized geometry, GGA-PBE.

Geometry as extended XYZ:
```
5
Lattice="5.020 0.000 0.000 0.000 5.020 0.000 0.000 0.000 5.020" Properties=species:S:1:pos:R:3 pbc="T T T"
Cl 0.000 2.510 0.000
Cl 0.000 0.000 2.510
Cl 2.510 0.000 0.000
Ag 0.000 0.000 0.000
W 2.510 2.510 2.510
```

Values from the calculation:
**Formation energy without anion corrections**: 0.959 eV per atom
**V**: 25.30 Å³/atom
**Space-group type**: Pm-3m, No. 221
**Energy above the lowest structure with this stoichiometry**: 0.7739 eV per atom
**Density of states at the Fermi level**: 7.378 states/eV/cell